! NaFe3O GGA+U relaxed; values from VASP
&SYSTEM
  ibrav = 0, nat = 5, ntyp = 3
/
ATOMIC_SPECIES
Na 22.99 Na.upf
Fe 55.84 Fe.upf
O 16.00 O.upf
CELL_PARAMETERS angstrom
4.633 0.000 0.000
0.000 4.633 0.000
0.000 0.000 4.633
ATOMIC_POSITIONS angstrom
Na 0.000 0.000 0.000
Fe 0.000 0.000 2.317
Fe 0.000 2.317 0.000
Fe 2.317 0.000 0.000
O 2.317 2.317 2.317
! **Calculated total energy**: -13.43 eV/f.u.
! **DOS(E_F)**: 1.38 states/eV/cell